Entry 1:
First-principles (PBE-GGA) data for an optimized crystal structure of InHgCl2, as listed in Alexandria.

## Properties
- Relative energy among the computed polymorphs: 0.0 meV per atom
- SG: No. 6
- Magnetic moment: 0.00 μB per cell
- Uncorrected formation energy: -0.64 eV per atom

a b c (Å): 5.4148 4.1252 5.9057
angles (deg): 90.00 117.21 90.00
Element x y z (fractional)
In: 0.0000 0.0000 0.0000
Hg: 0.7987 0.5000 0.6036
Cl: 0.1731 0.5000 0.3502
Cl: 0.5499 0.0000 0.1033

Entry 2:
First-principles (PBE-GGA) data for an optimized crystal structure of In6HgCl8, as listed in Alexandria.

## Properties
- SG: No. 148
- Magnetic moment: 0.00 μB per cell
- Uncorrected formation energy: -0.79 eV per atom

a b c (Å): 9.8150 9.8150 9.8150
angles (deg): 46.64 46.64 46.64
Element x y z (fractional)
In: 0.0246 0.7730 0.3997
In: 0.2270 0.6003 0.9754
In: 0.3997 0.0246 0.7730
In: 0.6003 0.9754 0.2270
In: 0.7730 0.3997 0.0246
In: 0.9754 0.2270 0.6003
Hg: 0.0000 0.0000 0.0000
Cl: 0.0948 0.5229 0.7295
Cl: 0.2705 0.9052 0.4771
Cl: 0.3306 0.3306 0.3306
Cl: 0.4771 0.2705 0.9052
Cl: 0.5229 0.7295 0.0948
Cl: 0.6694 0.6694 0.6694
Cl: 0.7295 0.0948 0.5229
Cl: 0.9052 0.4771 0.2705

Entry 3:
First-principles (PBE-GGA) data for an optimized crystal structure of In2HgCl3, as listed in Alexandria.

## Properties
- SG: No. 2
- Magnetic moment: 0.00 μB per cell
- Uncorrected formation energy: -0.71 eV per atom

a b c (Å): 3.8081 9.0246 11.4191
angles (deg): 101.95 90.82 102.02
Element x y z (fractional)
In: 0.1059 0.1922 0.2830
In: 0.1237 0.2620 0.8899
In: 0.8763 0.7380 0.1101
In: 0.8941 0.8078 0.7170
Hg: 0.4135 0.8374 0.9258
Hg: 0.5865 0.1626 0.0742
Cl: 0.0271 0.0853 0.6734
Cl: 0.2852 0.5470 0.1629
Cl: 0.3360 0.7008 0.5667
Cl: 0.6640 0.2992 0.4333
Cl: 0.7148 0.4530 0.8371
Cl: 0.9729 0.9147 0.3266